(1)
DFT (PBE) results for crystalline IrPtRh2 at its relaxed geometry.

Unit cell a=2.6979 b=4.6977 c=9.4746 alpha=90.00 beta=90.00 gamma=90.00
Closest atoms and distances in Å follow each position.
Space group Immm (No. 71)
Inequivalent atoms, fractional coordinates:
Ir 0.0000 0.0000 0.0000  4 Rh 2.64, 2 Ir 2.70, 4 Pt 2.71
Pt 0.0000 0.0000 0.5000  2 Pt 2.70, 4 Ir 2.71, 4 Rh 2.81
Rh 0.0000 0.5000 0.2600  2 Ir 2.64, 6 Rh 2.70-2.72, 2 Pt 2.81

Computed properties:
E_tot (eV/atom): -7.238
Energy of formation (meV/atom): 163
Excess energy over the best structure of this formula in the dataset (eV/atom): 0.206

=====

(2)
DFT (PBE) results for crystalline IrPt4Rh2 at its relaxed geometry.

Unit cell a=7.7123 b=7.7123 c=7.6674 alpha=90.00 beta=90.00 gamma=90.00
Closest atoms and distances in Å follow each position.
Space group I-42d (No. 122)
Inequivalent atoms, fractional coordinates:
Ir 0.0000 0.0000 0.0000  8 Pt 2.63-2.66
Pt 0.0849 0.1683 0.2864  2 Ir 2.63-2.66, 4 Rh 2.64-2.70, 3 Pt 2.78-2.91
Rh 0.1190 0.2500 0.6250  8 Pt 2.64-2.70

Computed properties:
E_tot (eV/atom): -6.468
Energy of formation (meV/atom): 350
Excess energy over the best structure of this formula in the dataset (eV/atom): 0.172

=====

(3)
DFT (PBE) results for crystalline IrPt2Rh at its relaxed geometry.

Unit cell a=2.7175 b=4.7671 c=9.4469 alpha=90.00 beta=90.00 gamma=90.00
Closest atoms and distances in Å follow each position.
Space group Cmmm (No. 65)
Inequivalent atoms, fractional coordinates:
Ir 0.0000 0.0000 0.0000  6 Ir 2.72-2.74, 4 Pt 2.73
Pt 0.0000 0.5000 0.2507  6 Pt 2.72-2.74, 2 Rh 2.72, 2 Ir 2.73
Rh 0.0000 0.0000 0.5000  6 Rh 2.72-2.74, 4 Pt 2.72

Computed properties:
E_tot (eV/atom): -6.914
Energy of formation (meV/atom): 160
Excess energy over the best structure of this formula in the dataset (eV/atom): 0.182